Material: SrCaZrSe2
Method: DFT, PBE
State: relaxed

Cell lengths 5.701, 5.701, 5.494 Å; angles 90.00, 90.00, 90.00 degrees
Element x y z (fractional)
Sr: 0.000 0.000 0.000
Ca: 0.500 0.500 0.500
Zr: 0.000 0.000 0.500
Se: 0.000 0.500 0.000
Se: 0.500 0.000 0.000

Summary:
M_tot: 0.69 μB/atom
E_tot: -3.547 eV/atom
E_form (uncorrected): 0.2929 eV/atom